# 1
# GGA-PBE CdTeO4, optimized geometry
data_CdTeO4
_space_group_name_H-M_alt 'P 1'
_space_group_IT_number 1
_space_group_name_Hall 'P 1'
_cell_length_a 5.038
_cell_length_b 5.606
_cell_length_c 6.348
_cell_angle_alpha 96.60
_cell_angle_beta 113.38
_cell_angle_gamma 90.00
loop_
_atom_site_label
_atom_site_type_symbol
_atom_site_fract_x
_atom_site_fract_y
_atom_site_fract_z
O1 O 0.860 0.725 0.614
O2 O 0.754 0.225 0.614
O3 O 0.471 0.444 0.194
O4 O 0.246 0.775 0.386
O5 O 0.277 0.056 0.806
O6 O 0.140 0.275 0.386
O7 O 0.723 0.944 0.194
O8 O 0.529 0.556 0.806
Cd1 Cd 0.269 0.750 0.000
Cd2 Cd 0.731 0.250 0.000
Te1 Te 0.000 0.000 0.500
Te2 Te 0.500 0.500 0.500
# Symmetry ... No. 15
# Formation energy from raw total energies ... -961.2 meV per atom
# Final energy ... -4.9428 eV/atom

# 2
# GGA-PBE KTbGe2O6, optimized geometry
data_KTbGe2O6
_space_group_name_H-M_alt 'P 1'
_space_group_IT_number 1
_space_group_name_Hall 'P 1'
_cell_length_a 5.378
_cell_length_b 7.511
_cell_length_c 7.511
_cell_angle_alpha 91.55
_cell_angle_beta 85.41
_cell_angle_gamma 85.41
loop_
_atom_site_label
_atom_site_type_symbol
_atom_site_fract_x
_atom_site_fract_y
_atom_site_fract_z
Tb1 Tb 0.750 0.718 0.282
Tb2 Tb 0.250 0.282 0.718
Ge1 Ge 0.224 0.792 0.619
Ge2 Ge 0.724 0.619 0.792
Ge3 Ge 0.776 0.208 0.381
Ge4 Ge 0.276 0.381 0.208
K1 K 0.750 0.089 0.911
K2 K 0.250 0.911 0.089
O1 O 0.879 0.412 0.805
O2 O 0.379 0.805 0.412
O3 O 0.098 0.278 0.398
O4 O 0.902 0.722 0.602
O5 O 0.598 0.398 0.278
O6 O 0.193 0.989 0.749
O7 O 0.693 0.749 0.989
O8 O 0.402 0.602 0.722
O9 O 0.621 0.195 0.588
O10 O 0.307 0.251 0.011
O11 O 0.807 0.011 0.251
O12 O 0.121 0.588 0.195
# Symmetry ... No. 15
# Formation energy from raw total energies ... -2146.7 meV per atom
# Final energy ... -6.6178 eV/atom

# 3
# GGA-PBE Y2Pd2Se, optimized geometry
data_Y2Pd2Se
_space_group_name_H-M_alt 'P 1'
_space_group_IT_number 1
_space_group_name_Hall 'P 1'
_cell_length_a 5.448
_cell_length_b 5.448
_cell_length_c 5.544
_cell_angle_alpha 60.57
_cell_angle_beta 60.57
_cell_angle_gamma 90.00
loop_
_atom_site_label
_atom_site_type_symbol
_atom_site_fract_x
_atom_site_fract_y
_atom_site_fract_z
Se1 Se 0.000 0.000 0.000
Pd1 Pd 0.343 0.343 0.315
Pd2 Pd 0.657 0.657 0.685
Y1 Y 0.250 0.750 0.500
Y2 Y 0.750 0.250 0.500
# Symmetry ... No. 139
# Formation energy from raw total energies ... -709.4 meV per atom
# Final energy ... -6.0691 eV/atom
# Relative energy among the computed polymorphs ... 366 meV per atom

# 4
# GGA-PBE Dy2SnRu2, optimized geometry
data_Dy2SnRu2
_space_group_name_H-M_alt 'P 1'
_space_group_IT_number 1
_space_group_name_Hall 'P 1'
_cell_length_a 5.521
_cell_length_b 5.765
_cell_length_c 8.085
_cell_angle_alpha 104.14
_cell_angle_beta 90.00
_cell_angle_gamma 118.61
loop_
_atom_site_label
_atom_site_type_symbol
_atom_site_fract_x
_atom_site_fract_y
_atom_site_fract_z
Ru1 Ru 0.301 0.288 0.512
Ru2 Ru 0.012 0.712 0.988
Ru3 Ru 0.699 0.712 0.488
Ru4 Ru 0.988 0.288 0.012
Sn1 Sn 0.859 0.000 0.250
Sn2 Sn 0.141 0.000 0.750
Dy1 Dy 0.511 0.709 0.853
Dy2 Dy 0.198 0.709 0.353
Dy3 Dy 0.489 0.291 0.147
Dy4 Dy 0.802 0.291 0.647
# Symmetry ... No. 15
# Final energy ... -6.8547 eV/atom

# 5
# GGA-PBE Hf2HgSb, optimized geometry
data_Hf2HgSb
_space_group_name_H-M_alt 'P 1'
_space_group_IT_number 1
_space_group_name_Hall 'P 1'
_cell_length_a 4.185
_cell_length_b 4.542
_cell_length_c 4.542
_cell_angle_alpha 90.00
_cell_angle_beta 90.00
_cell_angle_gamma 90.00
loop_
_atom_site_label
_atom_site_type_symbol
_atom_site_fract_x
_atom_site_fract_y
_atom_site_fract_z
Sb1 Sb 0.500 0.500 0.500
Hf1 Hf 0.000 0.500 0.000
Hf2 Hf 0.000 0.000 0.500
Hg1 Hg 0.500 0.000 0.000
# Symmetry ... No. 123
# Formation energy from raw total energies ... -152.6 meV per atom
# Final energy ... -6.2354 eV/atom
# Relative energy among the computed polymorphs ... 0 meV per atom

# 6
# GGA-PBE Cs5K3Rb4, optimized geometry
data_Cs5K3Rb4
_space_group_name_H-M_alt 'P 1'
_space_group_IT_number 1
_space_group_name_Hall 'P 1'
_cell_length_a 8.611
_cell_length_b 13.813
_cell_length_c 12.033
_cell_angle_alpha 101.84
_cell_angle_beta 69.04
_cell_angle_gamma 71.84
loop_
_atom_site_label
_atom_site_type_symbol
_atom_site_fract_x
_atom_site_fract_y
_atom_site_fract_z
Rb1 Rb 0.139 0.806 0.915
Rb2 Rb 0.971 0.756 0.303
Rb3 Rb 0.029 0.244 0.697
Rb4 Rb 0.861 0.194 0.085
Cs1 Cs 0.500 0.500 0.500
Cs2 Cs 0.676 0.626 0.022
Cs3 Cs 0.656 0.926 0.763
Cs4 Cs 0.344 0.074 0.237
Cs5 Cs 0.324 0.374 0.978
K1 K 0.693 0.130 0.484
K2 K 0.000 0.500 0.500
K3 K 0.307 0.870 0.516
# Symmetry ... No. 12
# Final energy ... -0.9181 eV/atom

Number 1: ρ 6.18 Mg/m³. Number 2: ρ 4.84 Mg/m³. Number 3: ρ 6.59 Mg/m³. Number 4: ρ 9.89 Mg/m³. Number 5: ρ 13.06 Mg/m³. Number 6: ρ 1.57 Mg/m³.